{"formula": "Ce2Si4NiIr3", "functional": "PBE-GGA", "state": "relaxed", "cell": [[-2.609, -1.516, 2.843], [-1.905, -2.225, -2.934], [6.179, -7.496, 1.674]], "species": ["Ce", "Ce", "Ni", "Ir", "Ir", "Ir", "Si", "Si", "Si", "Si"], "fractional_positions": [[0.500, 0.000, 0.247], [0.000, 0.500, 0.753], [0.500, 0.500, 0.500], [0.000, 0.500, 0.129], [0.500, 0.000, 0.871], [0.000, 0.000, 0.500], [0.000, 0.500, 0.374], [0.500, 0.500, 0.000], [0.500, 0.000, 0.626], [0.000, 0.000, 0.000]], "formation_energy_uncorrected_ev_per_atom": -0.959}

=====

{"formula": "CeSi2Ni2Ir", "functional": "PBE-GGA", "state": "relaxed", "cell": [[4.581, 0.000, 0.000], [0.000, 4.581, 0.000], [0.000, 0.000, 5.263]], "species": ["Ni", "Ni", "Si", "Si", "Ir", "Ce"], "fractional_positions": [[0.500, 0.500, 0.755], [0.500, 0.500, 0.245], [0.000, 0.500, 0.000], [0.500, 0.000, 0.000], [0.000, 0.000, 0.000], [0.000, 0.000, 0.500]], "formation_energy_uncorrected_ev_per_atom": -0.116}

=====

{"formula": "Ce2Si4Ni3Ir", "functional": "PBE-GGA", "state": "relaxed", "cell": [[-1.978, 1.441, -3.183], [0.752, -3.397, -2.005], [-8.280, -3.844, 3.405]], "species": ["Si", "Si", "Si", "Si", "Ir", "Ce", "Ce", "Ni", "Ni", "Ni"], "fractional_positions": [[0.500, 0.500, 0.000], [0.000, 0.000, 0.000], [0.500, 0.000, 0.638], [0.000, 0.500, 0.362], [0.500, 0.500, 0.500], [0.500, 0.000, 0.243], [0.000, 0.500, 0.757], [0.000, 0.500, 0.122], [0.500, 0.000, 0.878], [0.000, 0.000, 0.500]], "formation_energy_uncorrected_ev_per_atom": -0.881}

=====

{"formula": "CeNiSnIr", "functional": "PBE-GGA", "state": "relaxed", "cell": [[4.745, 0.000, 0.000], [2.373, 4.110, 0.000], [2.373, 1.370, 3.875]], "species": ["Ir", "Ni", "Ce", "Sn"], "fractional_positions": [[0.000, 0.000, 0.000], [0.500, 0.500, 0.500], [0.750, 0.750, 0.750], [0.250, 0.250, 0.250]], "ef_ev_per_atom": -0.4318}

=====

{"formula": "TbCeNiIr", "functional": "PBE-GGA", "state": "relaxed", "cell": [[4.878, 0.000, 0.000], [2.439, 4.225, 0.000], [2.439, 1.408, 3.983]], "species": ["Ir", "Tb", "Ni", "Ce"], "fractional_positions": [[0.250, 0.250, 0.250], [0.000, 0.000, 0.000], [0.750, 0.750, 0.750], [0.500, 0.500, 0.500]], "ef_ev_per_atom": -0.5281, "de_polymorph_ev_per_atom": 0.080}

=====

{"formula": "TbCeNiIr", "functional": "PBE-GGA", "state": "relaxed", "cell": [[-2.804, 1.930, -1.539], [-2.937, -2.406, 2.335], [1.647, 2.400, 4.545]], "species": ["Tb", "Ir", "Ni", "Ce"], "fractional_positions": [[0.139, 0.000, 0.278], [0.582, 0.500, 0.164], [0.418, 0.000, 0.836], [0.861, 0.500, 0.722]], "ef_ev_per_atom": -0.6081, "de_polymorph_ev_per_atom": 0.000}

=====

{"formula": "CeTmNiIr", "functional": "PBE-GGA", "state": "relaxed", "cell": [[-2.994, -3.364, 1.767], [1.791, -3.891, 2.249], [-0.536, -0.490, 4.783]], "species": ["Ni", "Tm", "Ir", "Ce"], "fractional_positions": [[0.250, 0.250, 0.250], [0.500, 0.500, 0.500], [0.750, 0.750, 0.750], [0.000, 0.000, 0.000]], "ef_ev_per_atom": -0.5776}

=====

{"formula": "Ce2Zn3Ni12Ir", "functional": "PBE-GGA", "state": "relaxed", "cell": [[8.679, 1.472, 1.044], [5.566, 6.819, 1.044], [5.566, 3.240, 6.091]], "species": ["Ir", "Zn", "Zn", "Zn", "Ni", "Ni", "Ni", "Ni", "Ni", "Ni", "Ni", "Ni", "Ni", "Ni", "Ni", "Ni", "Ce", "Ce"], "fractional_positions": [[0.000, 0.000, 0.000], [0.000, 0.000, 0.500], [0.000, 0.500, 0.000], [0.500, 0.000, 0.000], [0.126, 0.126, 0.568], [0.419, 0.419, 0.801], [0.568, 0.126, 0.126], [0.126, 0.568, 0.126], [0.801, 0.419, 0.419], [0.432, 0.874, 0.874], [0.419, 0.801, 0.419], [0.874, 0.874, 0.432], [0.581, 0.199, 0.581], [0.581, 0.581, 0.199], [0.199, 0.581, 0.581], [0.874, 0.432, 0.874], [0.360, 0.360, 0.360], [0.640, 0.640, 0.640]], "ef_ev_per_atom": 0.0804}

=====

{"formula": "Ce2ZnNi5Ir2", "functional": "PBE-GGA", "state": "relaxed", "cell": [[3.890, 0.000, 0.000], [0.000, 9.039, 0.000], [0.000, 0.000, 9.039]], "species": ["Ni", "Ni", "Ni", "Ni", "Ni", "Ni", "Ni", "Ni", "Ni", "Ni", "Ir", "Ir", "Ir", "Ir", "Ce", "Ce", "Ce", "Ce", "Zn", "Zn"], "fractional_positions": [[0.500, 0.694, 0.443], [0.500, 0.806, 0.943], [0.500, 0.943, 0.194], [0.500, 0.500, 0.000], [0.500, 0.443, 0.306], [0.500, 0.057, 0.806], [0.500, 0.000, 0.500], [0.500, 0.557, 0.694], [0.500, 0.194, 0.057], [0.500, 0.306, 0.557], [0.000, 0.372, 0.128], [0.000, 0.128, 0.628], [0.000, 0.628, 0.872], [0.000, 0.872, 0.372], [0.000, 0.326, 0.826], [0.000, 0.826, 0.674], [0.000, 0.674, 0.174], [0.000, 0.174, 0.326], [0.000, 0.000, 0.000], [0.000, 0.500, 0.500]], "ef_ev_per_atom": -0.2932}

=====

{"formula": "CeNp2Ir", "functional": "PBE-GGA", "state": "relaxed", "cell": [[-0.327, -4.922, 0.196], [3.352, -2.790, -2.313], [3.288, -2.590, 2.620]], "species": ["Np", "Np", "Ir", "Ce"], "fractional_positions": [[0.250, 0.250, 0.250], [0.750, 0.750, 0.750], [0.000, 0.000, 0.000], [0.500, 0.500, 0.500]], "ef_ev_per_atom": -0.0030}

=====

{"formula": "Ce2NpIr", "functional": "PBE-GGA", "state": "relaxed", "cell": [[5.169, 0.000, 0.000], [2.585, 4.477, 0.000], [2.585, 1.492, 3.763]], "species": ["Ce", "Ce", "Np", "Ir"], "fractional_positions": [[0.242, 0.242, 0.275], [0.758, 0.758, 0.725], [0.000, 0.000, 0.000], [0.500, 0.500, 0.500]], "ef_ev_per_atom": -0.0922}

=====

{"formula": "CeNpIr", "functional": "PBE-GGA", "state": "relaxed", "cell": [[-2.153, -0.368, 1.821], [-3.044, -0.606, -3.723], [2.275, -3.826, 1.917]], "species": ["Ir", "Ce", "Np"], "fractional_positions": [[0.333, 0.333, 0.667], [0.833, 0.667, 0.333], [0.833, 0.000, 0.000]], "ef_ev_per_atom": -0.1779, "de_polymorph_ev_per_atom": 0.061}

=====

{"formula": "CeNpIr", "functional": "PBE-GGA", "state": "relaxed", "cell": [[4.998, 0.000, 0.000], [2.499, 4.881, 0.206], [2.499, 1.415, 4.676]], "species": ["Np", "Np", "Ce", "Ce", "Ir", "Ir"], "fractional_positions": [[0.352, 0.647, 0.648], [0.648, 0.353, 0.352], [0.678, 0.822, 0.822], [0.322, 0.178, 0.178], [0.000, 0.755, 0.246], [0.000, 0.245, 0.754]], "ef_ev_per_atom": -0.2283, "de_polymorph_ev_per_atom": 0.010}

=====

{"formula": "CeNpIr", "functional": "PBE-GGA", "state": "relaxed", "cell": [[-1.182, 3.205, -0.990], [-3.260, -0.851, 1.138], [3.328, 0.626, 4.444]], "species": ["Ce", "Np", "Ir"], "fractional_positions": [[0.003, 0.003, 0.007], [0.323, 0.323, 0.646], [0.674, 0.674, 0.347]], "ef_ev_per_atom": -0.2387, "de_polymorph_ev_per_atom": 0.000}

=====

{"formula": "CeNpIrPd", "functional": "PBE-GGA", "state": "relaxed", "cell": [[-4.109, 2.248, -1.567], [-0.736, 0.711, -4.832], [-3.476, -2.583, -2.375]], "species": ["Ce", "Np", "Pd", "Ir"], "fractional_positions": [[0.250, 0.250, 0.250], [0.750, 0.750, 0.750], [0.500, 0.500, 0.500], [0.000, 0.000, 0.000]], "ef_ev_per_atom": -0.4006}

=====

{"formula": "CeNpIrRh", "functional": "PBE-GGA", "state": "relaxed", "cell": [[4.879, 0.000, 0.000], [2.439, 4.225, 0.000], [2.439, 1.408, 3.983]], "species": ["Np", "Rh", "Ir", "Ce"], "fractional_positions": [[0.750, 0.750, 0.750], [0.500, 0.500, 0.500], [0.000, 0.000, 0.000], [0.250, 0.250, 0.250]], "ef_ev_per_atom": -0.4420}

=====

{"formula": "CeNpIrRu", "functional": "PBE-GGA", "state": "relaxed", "cell": [[-2.650, 1.606, -3.732], [-3.907, -2.485, -1.447], [-4.440, 1.795, 0.773]], "species": ["Ir", "Np", "Ru", "Ce"], "fractional_positions": [[0.250, 0.250, 0.250], [0.000, 0.000, 0.000], [0.750, 0.750, 0.750], [0.500, 0.500, 0.500]], "ef_ev_per_atom": -0.2782}

=====

{"formula": "CeIrO", "functional": "PBE-GGA", "state": "relaxed", "cell": [[-1.425, 1.054, 3.010], [2.469, -1.722, 1.772], [4.605, 6.505, -0.097]], "species": ["Ce", "Ce", "O", "O", "Ir", "Ir"], "fractional_positions": [[0.500, 0.000, 0.814], [0.000, 0.500, 0.186], [0.000, 0.500, 0.891], [0.500, 0.000, 0.109], [0.500, 0.000, 0.453], [0.000, 0.500, 0.547]], "formation_energy_uncorrected_ev_per_atom": -1.743}

=====

{"formula": "Ce2IrO", "functional": "PBE-GGA", "state": "relaxed", "cell": [[-2.771, 1.724, 2.507], [-2.684, -0.259, -2.788], [-2.860, -9.955, 3.684]], "species": ["Ce", "Ce", "Ce", "Ce", "O", "O", "Ir", "Ir"], "fractional_positions": [[0.201, 0.358, 0.499], [0.701, 0.359, 0.218], [0.701, 0.858, 0.717], [0.201, 0.858, 0.998], [0.701, 0.358, 0.597], [0.201, 0.858, 0.619], [0.701, 0.358, 0.953], [0.201, 0.859, 0.263]], "formation_energy_uncorrected_ev_per_atom": -1.757, "de_polymorph_ev_per_atom": 0.000}

=====

{"formula": "Ce2IrO", "functional": "PBE-GGA", "state": "relaxed", "cell": [[3.710, 0.000, 0.000], [1.855, 3.213, 0.000], [1.855, 1.071, 6.915]], "species": ["Ce", "Ce", "Ir", "O"], "fractional_positions": [[0.250, 0.250, 0.250], [0.093, 0.093, 0.721], [0.669, 0.669, 0.993], [0.488, 0.488, 0.537]], "formation_energy_uncorrected_ev_per_atom": -1.443, "de_polymorph_ev_per_atom": 0.314}

=====

{"formula": "Ce2IrO", "functional": "PBE-GGA", "state": "relaxed", "cell": [[3.760, 0.000, 0.000], [1.880, 3.256, 0.000], [1.880, 1.085, 6.501]], "species": ["Ce", "Ce", "O", "Ir"], "fractional_positions": [[0.260, 0.260, 0.220], [0.740, 0.740, 0.780], [0.000, 0.000, 0.000], [0.500, 0.500, 0.500]], "formation_energy_uncorrected_ev_per_atom": -1.605, "de_polymorph_ev_per_atom": 0.152}

=====

{"formula": "CeIrPbO6", "functional": "PBE-GGA", "state": "relaxed", "cell": [[-1.777, -3.996, -3.568], [5.094, 2.332, -0.685], [4.106, -7.202, 6.021]], "species": ["Ce", "Ce", "O", "O", "O", "O", "O", "O", "O", "O", "O", "O", "O", "O", "Ir", "Ir", "Pb", "Pb"], "fractional_positions": [[0.333, 0.667, 0.250], [0.667, 0.333, 0.750], [0.386, 0.039, 0.143], [0.386, 0.347, 0.357], [0.653, 0.039, 0.357], [0.614, 0.653, 0.643], [0.347, 0.961, 0.643], [0.039, 0.653, 0.857], [0.614, 0.961, 0.857], [0.961, 0.347, 0.143], [0.961, 0.614, 0.357], [0.653, 0.614, 0.143], [0.347, 0.386, 0.857], [0.039, 0.386, 0.643], [0.333, 0.667, 0.750], [0.667, 0.333, 0.250], [0.000, 0.000, 0.000], [0.000, 0.000, 0.500]], "formation_energy_uncorrected_ev_per_atom": -1.603}

=====

{"formula": "Rb2CeIr3O12", "functional": "PBE-GGA", "state": "relaxed", "cell": [[-4.067, -1.379, 6.226], [-0.356, -6.870, 3.144], [3.227, -1.558, 6.661]], "species": ["Ir", "Ir", "Ir", "O", "O", "O", "O", "O", "O", "O", "O", "O", "O", "O", "O", "Rb", "Rb", "Ce"], "fractional_positions": [[0.000, 0.500, 0.000], [0.000, 0.000, 0.500], [0.500, 0.000, 0.000], [0.082, 0.693, 0.693], [0.082, 0.641, 0.082], [0.641, 0.082, 0.082], [0.693, 0.082, 0.693], [0.918, 0.307, 0.307], [0.359, 0.918, 0.918], [0.693, 0.693, 0.082], [0.082, 0.082, 0.641], [0.918, 0.359, 0.918], [0.918, 0.918, 0.359], [0.307, 0.918, 0.307], [0.307, 0.307, 0.918], [0.381, 0.381, 0.381], [0.619, 0.619, 0.619], [0.000, 0.000, 0.000]], "formation_energy_uncorrected_ev_per_atom": -1.264}

=====

{"formula": "RbCeIrO4", "functional": "PBE-GGA", "state": "relaxed", "cell": [[5.589, 0.000, 0.000], [-2.795, 7.596, 0.578], [0.000, -3.588, 5.900]], "species": ["O", "O", "O", "O", "O", "O", "O", "O", "Ir", "Ir", "Ce", "Ce", "Rb", "Rb"], "fractional_positions": [[0.284, 0.028, 0.764], [0.716, 0.972, 0.236], [0.744, 0.028, 0.764], [0.256, 0.972, 0.236], [0.698, 0.395, 0.627], [0.302, 0.605, 0.732], [0.698, 0.395, 0.268], [0.302, 0.605, 0.373], [0.000, 0.500, 0.500], [0.500, 0.500, 0.500], [0.500, 0.000, 0.500], [0.500, 0.000, 0.000], [0.829, 0.658, 0.079], [0.171, 0.342, 0.921]], "formation_energy_uncorrected_ev_per_atom": -1.756}

=====

{"formula": "Rb2CeIrO6", "functional": "PBE-GGA", "state": "relaxed", "cell": [[5.837, 0.000, 0.000], [0.000, 6.448, 0.000], [0.000, -3.224, 5.585]], "species": ["O", "O", "O", "O", "O", "O", "Ir", "Rb", "Rb", "Ce"], "fractional_positions": [[0.212, 0.274, 0.137], [0.212, 0.863, 0.726], [0.788, 0.726, 0.863], [0.788, 0.137, 0.274], [0.212, 0.863, 0.137], [0.788, 0.137, 0.863], [0.000, 0.000, 0.000], [0.883, 0.667, 0.333], [0.117, 0.333, 0.667], [0.500, 0.000, 0.000]], "formation_energy_uncorrected_ev_per_atom": -1.699}